#A
KSrRe2: optimized geometry, PBE.

```
4
Lattice="0.0000 3.4916 3.4916 3.4916 0.0000 3.4916 3.4916 3.4916 0.0000" Properties=species:S:1:pos:R:3 pbc="T T T"
K 0.0000 0.0000 0.0000
Sr 5.2374 5.2374 5.2374
Re 1.7458 1.7458 1.7458
Re 3.4916 3.4916 3.4916
```

=====

#B
KSrRe2: optimized geometry, PBE.

```
4
Lattice="0.0000 3.7554 3.7554 3.7554 0.0000 3.7554 3.7554 3.7554 0.0000" Properties=species:S:1:pos:R:3 pbc="T T T"
K 0.0000 0.0000 0.0000
Sr 3.7554 3.7554 3.7554
Re 1.8777 1.8777 1.8777
Re 5.6331 5.6331 5.6331
```

=====

#C
KSrRe2: optimized geometry, PBE.

```
4
Lattice="1.4481 0.8361 11.4996 -1.4481 0.8361 11.4996 0.0000 -1.6722 11.4996" Properties=species:S:1:pos:R:3 pbc="T T T"
K 0.0000 0.0000 0.0000
Sr 0.0000 0.0000 17.2494
Re 0.0000 0.0000 8.5161
Re 0.0000 0.0000 25.9828
```

=====

#D
KSrRe2: optimized geometry, PBE.

```
4
Lattice="3.6341 -2.0971 0.0000 3.6341 2.0971 0.0000 -2.3804 0.0000 9.2155" Properties=species:S:1:pos:R:3 pbc="T T T"
K 0.0000 0.0000 0.0000
Sr 4.8858 0.0000 4.2684
Re 0.0411 0.0000 6.6826
Re 2.4636 0.0000 6.3985
```

=====

#D is the most stable structure; the next one sits 856 meV per atom above it.

=====

#A
KSrRe2: optimized geometry, PBE.

```
4
Lattice="2.7190 -5.5690 0.0000 2.7190 5.5690 0.0000 -0.0517 0.0000 2.7317" Properties=species:S:1:pos:R:3 pbc="T T T"
K 0.0000 0.0000 0.0000
Sr 2.7190 0.0000 0.0000
Re 1.3336 2.7845 1.3659
Re 1.3336 -2.7845 1.3659
```

=====

#B
KSrRe2: optimized geometry, PBE.

```
4
Lattice="5.8625 -1.8319 0.0000 5.8625 1.8319 0.0000 -3.9255 0.0000 7.2566" Properties=species:S:1:pos:R:3 pbc="T T T"
K 0.0000 0.0000 0.0000
Sr 3.8997 0.0000 3.6283
Re 0.7889 0.0000 4.3235
Re 7.0106 0.0000 2.9331
```

=====

#C
KSrRe2: optimized geometry, PBE.

```
4
Lattice="-1.7785 2.0800 5.5696 1.7785 -2.0800 5.5696 1.7785 2.0800 -5.5696" Properties=species:S:1:pos:R:3 pbc="T T T"
K 0.0000 0.0000 0.0000
Sr 0.0000 0.0000 5.5696
Re 1.7785 0.0000 2.7938
Re 0.0000 2.0800 2.7759
```

=====

#B is the most stable structure; the next one sits 335 meV per atom above it.

=====

#A
KSrRe2: optimized geometry, PBE.

```
4
Lattice="2.7463 0.0000 0.0000 0.0000 2.7463 0.0000 0.0000 0.0000 11.2342" Properties=species:S:1:pos:R:3 pbc="T T T"
K 0.0000 0.0000 0.0000
Sr 0.0000 0.0000 5.6171
Re 1.3731 1.3731 2.9486
Re 1.3731 1.3731 8.2856
```

=====

#B
KSrRe2: optimized geometry, PBE.

```
4
Lattice="3.2434 0.0000 0.0000 0.0000 3.7515 0.0000 0.0000 0.0000 9.9148" Properties=species:S:1:pos:R:3 pbc="T T T"
K 0.0000 0.0000 0.0000
Sr 1.6217 1.8757 5.7952
Re 0.0000 0.0000 3.3619
Re 1.6217 1.8757 2.7701
```

=====

#C
KSrRe2: optimized geometry, PBE.

```
4
Lattice="-1.8432 2.8376 5.4971 1.8432 -2.8376 5.4971 1.8432 2.8376 -5.4971" Properties=species:S:1:pos:R:3 pbc="T T T"
K 0.0000 0.0000 0.0000
Sr 0.0000 2.8376 2.3428
Re 1.8432 0.0000 3.0508
Re 0.0000 0.0000 4.4890
```

=====

#B is the most stable structure; the next one sits 251 meV per atom above it.

=====

#A
KSrRe: optimized geometry, PBE.

```
3
Lattice="3.2106 0.0000 0.0000 -1.6053 2.7804 0.0000 0.0000 0.0000 9.3241" Properties=species:S:1:pos:R:3 pbc="T T T"
K 0.0000 0.0000 0.0000
Sr 1.6053 0.9268 5.2986
Re 0.0000 1.8536 2.8311
```

=====

#B
KSrRe: optimized geometry, PBE.

```
3
Lattice="-1.5557 1.5557 9.0767 1.5557 -1.5557 9.0767 1.5557 1.5557 -9.0767" Properties=species:S:1:pos:R:3 pbc="T T T"
K 0.0000 0.0000 0.0000
Sr 0.0000 0.0000 4.9901
Re 0.0000 0.0000 11.8033
```

=====

#B is the most stable structure; the next one sits 108 meV per atom above it.

=====

#A
KSrRe: optimized geometry, PBE.

```
3
Lattice="0.0000 3.8813 3.8813 3.8813 0.0000 3.8813 3.8813 3.8813 0.0000" Properties=species:S:1:pos:R:3 pbc="T T T"
K 0.0000 0.0000 0.0000
Sr 3.8813 3.8813 3.8813
Re 1.9406 1.9406 1.9406
```

=====

#B
KSrRe: optimized geometry, PBE.

```
3
Lattice="-1.4383 2.4961 6.0790 1.4383 -2.4961 6.0790 1.4383 2.4961 -6.0790" Properties=species:S:1:pos:R:3 pbc="T T T"
K 0.0000 0.0000 0.0000
Sr 0.0000 0.0000 3.4822
Re 0.0000 0.0000 8.2633
```

=====

#B is the most stable structure; the next one sits 391 meV per atom above it.

=====

#A
K3SrRe: optimized geometry, PBE.

```
5
Lattice="7.8145 0.0000 0.0000 0.0000 7.8145 0.0000 0.0000 0.0000 7.8145" Properties=species:S:1:pos:R:3 pbc="T T T"
K 0.0000 0.0000 3.9072
K 0.0000 3.9072 0.0000
K 3.9072 0.0000 0.0000
Sr 0.0000 0.0000 0.0000
Re 3.9072 3.9072 3.9072
```

=====

#B
K3SrRe: optimized geometry, PBE.

```
5
Lattice="6.5695 0.0000 0.0000 0.0000 6.5695 0.0000 0.0000 0.0000 6.5695" Properties=species:S:1:pos:R:3 pbc="T T T"
K 0.0000 0.0000 3.2848
K 0.0000 3.2848 0.0000
K 3.2848 0.0000 0.0000
Sr 3.2848 3.2848 3.2848
Re 0.0000 0.0000 0.0000
```

=====

#B is the most stable structure; the next one sits 484 meV per atom above it.